A relaxed Ho3ErMg crystal. Source: Alexandria, functional PBE-GGA.

Cell: 7.4165 7.4165 11.6835 Å, 99.05 99.05 27.67°
Fractional positions:
Ho 0.1485 0.1485 0.4511
Ho 0.2447 0.2447 0.7489
Ho 0.3507 0.3507 0.0356
Ho 0.6493 0.6493 0.9644
Ho 0.7553 0.7553 0.2511
Ho 0.8515 0.8515 0.5489
Er 0.0451 0.0451 0.1615
Er 0.9549 0.9549 0.8385
Mg 0.4505 0.4505 0.3561
Mg 0.5495 0.5495 0.6439

Properties
ρ, g/cm3: 7.7
ΔE to the lowest computed polymorph, eV/atom: 0.000
E_form, eV/atom: 0.005


A relaxed Ho6Er5Mg crystal. Source: Alexandria, functional PBE-GGA.

Cell: 7.8132 7.8132 6.0618 Å, 97.36 97.36 84.35°
Fractional positions:
Ho 0.0834 0.4174 0.7467
Ho 0.2492 0.2492 0.2506
Ho 0.4174 0.0834 0.7467
Ho 0.5826 0.9166 0.2533
Ho 0.7508 0.7508 0.7494
Ho 0.9166 0.5826 0.2533
Er 0.0000 0.0000 0.5000
Er 0.1652 0.8348 0.0000
Er 0.3336 0.6664 0.5000
Er 0.6664 0.3336 0.5000
Er 0.8348 0.1652 0.0000
Mg 0.5000 0.5000 0.0000

Properties
ρ, g/cm3: 8.5
E_form, eV/atom: 0.027


A relaxed Ho4Er7Mg crystal. Source: Alexandria, functional PBE-GGA.

Cell: 11.3422 11.3422 6.2984 Å, 102.22 102.22 28.12°
Fractional positions:
Ho 0.1168 0.1168 0.3398
Ho 0.2086 0.2086 0.8862
Ho 0.7914 0.7914 0.1138
Ho 0.8832 0.8832 0.6602
Er 0.0460 0.0460 0.7995
Er 0.2895 0.2895 0.4382
Er 0.3649 0.3649 0.0111
Er 0.5000 0.5000 0.5000
Er 0.6351 0.6351 0.9889
Er 0.7105 0.7105 0.5618
Er 0.9540 0.9540 0.2005
Mg 0.5000 0.5000 0.0000

Properties
ρ, g/cm3: 8.3
ΔE to the lowest computed polymorph, eV/atom: 0.095
E_form, eV/atom: 0.118


A relaxed Ho3Er4Mg crystal. Source: Alexandria, functional PBE-GGA.

Cell: 12.7594 12.7594 5.8088 Å, 95.62 95.62 15.13°
Fractional positions:
Ho 0.0000 0.0000 0.0000
Ho 0.1501 0.1501 0.2165
Ho 0.8499 0.8499 0.7835
Er 0.1020 0.1020 0.6973
Er 0.2820 0.2820 0.2624
Er 0.7180 0.7180 0.7376
Er 0.8980 0.8980 0.3027
Mg 0.5000 0.5000 0.5000

Properties
ρ, g/cm3: 8.0
ΔE to the lowest computed polymorph, eV/atom: 0.043
E_form, eV/atom: 0.231


A relaxed HoEr7Mg2 crystal. Source: Alexandria, functional PBE-GGA.

Cell: 9.2466 9.2466 5.1616 Å, 90.00 90.00 123.56°
Fractional positions:
Ho 0.0000 0.0000 0.0000
Er 0.0696 0.2933 0.5000
Er 0.2077 0.7923 0.0000
Er 0.2933 0.0696 0.5000
Er 0.5000 0.5000 0.5000
Er 0.7067 0.9304 0.5000
Er 0.7923 0.2077 0.0000
Er 0.9304 0.7067 0.5000
Mg 0.2999 0.7001 0.5000
Mg 0.7001 0.2999 0.5000

Properties
ρ, g/cm3: 6.3
E_form, eV/atom: 0.589


A relaxed Ho5ErMg4 crystal. Source: Alexandria, functional PBE-GGA.

Cell: 3.7058 3.7058 20.2222 Å, 90.00 90.00 90.00°
Fractional positions:
Ho 0.0000 0.0000 0.0000
Ho 0.0000 0.0000 0.1900
Ho 0.0000 0.0000 0.3836
Ho 0.0000 0.0000 0.6164
Ho 0.0000 0.0000 0.8100
Er 0.5000 0.5000 0.5000
Mg 0.5000 0.5000 0.0954
Mg 0.5000 0.5000 0.2860
Mg 0.5000 0.5000 0.7140
Mg 0.5000 0.5000 0.9046

Properties
ρ, g/cm3: 6.5
E_form, eV/atom: -0.043


A relaxed HoErMg crystal. Source: Alexandria, functional PBE-GGA.

Cell: 4.7816 4.7816 7.9654 Å, 90.00 90.00 90.00°
Fractional positions:
Ho 0.2500 0.2500 0.1653
Ho 0.7500 0.7500 0.8347
Er 0.2500 0.7500 0.5000
Er 0.7500 0.2500 0.5000
Mg 0.2500 0.2500 0.7684
Mg 0.7500 0.7500 0.2316

Properties
ρ, g/cm3: 6.5
ΔE to the lowest computed polymorph, eV/atom: 0.204
E_form, eV/atom: 0.171


A relaxed Ho2Er3Mg2 crystal. Source: Alexandria, functional PBE-GGA.

Cell: 11.6620 11.6620 3.4345 Å, 90.00 90.00 154.15°
Fractional positions:
Ho 0.2115 0.7885 0.0000
Ho 0.7885 0.2115 0.0000
Er 0.3500 0.6500 0.5000
Er 0.5000 0.5000 0.5000
Er 0.6500 0.3500 0.5000
Mg 0.0687 0.9313 0.0000
Mg 0.9313 0.0687 0.0000

Properties
ρ, g/cm3: 7.2
E_form, eV/atom: 0.041


A relaxed Ho5Er5Mg crystal. Source: Alexandria, functional PBE-GGA.

Cell: 6.0247 6.0247 11.2186 Å, 90.00 90.00 120.00°
Fractional positions:
Ho 0.0000 0.0000 0.2353
Ho 0.0000 0.0000 0.7647
Ho 0.3372 0.1686 0.0000
Ho 0.8314 0.1686 0.0000
Ho 0.8314 0.6628 0.0000
Er 0.0000 0.0000 0.5000
Er 0.3333 0.6667 0.1971
Er 0.3333 0.6667 0.8029
Er 0.6667 0.3333 0.3293
Er 0.6667 0.3333 0.6707
Mg 0.3333 0.6667 0.5000

Properties
ρ, g/cm3: 7.9
E_form, eV/atom: 0.367


A relaxed Ho3ErMg7 crystal. Source: Alexandria, functional PBE-GGA.

Cell: 7.4000 7.4000 6.0282 Å, 103.08 103.08 86.89°
Fractional positions:
Ho 0.0000 0.0000 0.0000
Ho 0.1927 0.8073 0.5000
Ho 0.8073 0.1927 0.5000
Er 0.5000 0.5000 0.0000
Mg 0.0524 0.5647 0.8118
Mg 0.2374 0.2374 0.5237
Mg 0.4353 0.9476 0.1882
Mg 0.5000 0.5000 0.5000
Mg 0.5647 0.0524 0.8118
Mg 0.7626 0.7626 0.4763
Mg 0.9476 0.4353 0.1882

Properties
ρ, g/cm3: 4.4
ΔE to the lowest computed polymorph, eV/atom: 0.109
E_form, eV/atom: 0.206


A relaxed Ho2Er5Mg crystal. Source: Alexandria, functional PBE-GGA.

Cell: 6.9589 6.9589 6.9589 Å, 120.09 120.09 89.84°
Fractional positions:
Ho 0.0000 0.5000 0.5000
Ho 0.5000 0.0000 0.5000
Er 0.0001 0.0001 0.0000
Er 0.0000 0.0000 0.4999
Er 0.0000 0.5001 0.0000
Er 0.5001 0.0000 0.0000
Er 0.5001 0.5001 0.5001
Mg 0.4996 0.4996 0.0000

Properties
ρ, g/cm3: 8.3
ΔE to the lowest computed polymorph, eV/atom: 0.000
E_form, eV/atom: 0.025


A relaxed Ho3Er3Mg crystal. Source: Alexandria, functional PBE-GGA.

Cell: 9.3233 9.3233 5.5588 Å, 90.00 90.00 120.00°
Fractional positions:
Ho 0.0560 0.8150 0.2500
Ho 0.1850 0.2409 0.2500
Ho 0.2409 0.0560 0.7500
Ho 0.7591 0.9440 0.2500
Ho 0.8150 0.7591 0.7500
Ho 0.9440 0.1850 0.7500
Er 0.1023 0.6251 0.7500
Er 0.3749 0.4772 0.7500
Er 0.4772 0.1023 0.2500
Er 0.5228 0.8977 0.7500
Er 0.6251 0.5228 0.2500
Er 0.8977 0.3749 0.2500
Mg 0.3333 0.6667 0.2500
Mg 0.6667 0.3333 0.7500

Properties
ρ, g/cm3: 8.1
ΔE to the lowest computed polymorph, eV/atom: 0.000
E_form, eV/atom: 0.018


A relaxed HoEr3Mg crystal. Source: Alexandria, functional PBE-GGA.

Cell: 3.5470 11.0210 8.2972 Å, 90.00 102.03 90.00°
Fractional positions:
Ho 0.0105 0.2500 0.0381
Ho 0.9895 0.7500 0.9619
Er 0.1577 0.5064 0.3087
Er 0.1577 0.9936 0.3087
Er 0.3018 0.7500 0.5999
Er 0.6982 0.2500 0.4001
Er 0.8423 0.0064 0.6913
Er 0.8423 0.4936 0.6913
Mg 0.3528 0.2500 0.7155
Mg 0.6472 0.7500 0.2845

Properties
ρ, g/cm3: 7.2
ΔE to the lowest computed polymorph, eV/atom: 0.192
E_form, eV/atom: 0.198


A relaxed Ho3Er6Mg crystal. Source: Alexandria, functional PBE-GGA.

Cell: 8.7643 8.7643 8.8659 Å, 90.00 90.00 116.63°
Fractional positions:
Ho 0.0396 0.9604 0.5000
Ho 0.1785 0.4677 0.9824
Ho 0.4677 0.1785 0.4824
Ho 0.5323 0.8215 0.9824
Ho 0.8215 0.5323 0.4824
Ho 0.9604 0.0396 0.0000
Er 0.0231 0.3269 0.6456
Er 0.2094 0.3384 0.3155
Er 0.2094 0.7906 0.7571
Er 0.3269 0.0231 0.1456
Er 0.3384 0.2094 0.8155
Er 0.4382 0.5618 0.6314
Er 0.5618 0.4382 0.1314
Er 0.6616 0.7906 0.3155
Er 0.6731 0.9769 0.6456
Er 0.7906 0.2094 0.2571
Er 0.7906 0.6616 0.8155
Er 0.9769 0.6731 0.1456
Mg 0.2690 0.7310 0.3982
Mg 0.7310 0.2690 0.8982

Properties
ρ, g/cm3: 8.3
ΔE to the lowest computed polymorph, eV/atom: 0.112
E_form, eV/atom: 0.134


A relaxed Ho12Er2Mg crystal. Source: Alexandria, functional PBE-GGA.

Cell: 3.5537 4.8114 27.5367 Å, 90.00 93.69 90.00°
Fractional positions:
Ho 0.0306 0.0000 0.0615
Ho 0.0928 0.0000 0.1895
Ho 0.1595 0.0000 0.3211
Ho 0.2239 0.0000 0.4475
Ho 0.3091 0.5000 0.6176
Ho 0.4376 0.5000 0.8727
Ho 0.5624 0.5000 0.1273
Ho 0.6909 0.5000 0.3824
Ho 0.7761 0.0000 0.5525
Ho 0.8405 0.0000 0.6789
Ho 0.9072 0.0000 0.8105
Ho 0.9694 0.0000 0.9385
Er 0.3742 0.5000 0.7446
Er 0.6258 0.5000 0.2554
Mg 0.5000 0.5000 0.0000

Properties
ρ, g/cm3: 8.3
E_form, eV/atom: 0.108


A relaxed HoEr3Mg crystal. Source: Alexandria, functional PBE-GGA.

Cell: 7.4784 7.4784 11.5987 Å, 99.57 99.57 27.27°
Fractional positions:
Ho 0.0463 0.0463 0.1586
Ho 0.9537 0.9537 0.8414
Er 0.1488 0.1488 0.4511
Er 0.2458 0.2458 0.7482
Er 0.3497 0.3497 0.0384
Er 0.6503 0.6503 0.9616
Er 0.7542 0.7542 0.2518
Er 0.8512 0.8512 0.5489
Mg 0.4506 0.4506 0.3560
Mg 0.5494 0.5494 0.6440

Properties
ρ, g/cm3: 7.8
ΔE to the lowest computed polymorph, eV/atom: 0.000
E_form, eV/atom: 0.006


A relaxed Ho3Er3Mg crystal. Source: Alexandria, functional PBE-GGA.

Cell: 14.1710 14.1710 14.1710 Å, 24.85 24.85 24.85°
Fractional positions:
Ho 0.0993 0.4353 0.7714
Ho 0.2286 0.9007 0.5647
Ho 0.4353 0.7714 0.0993
Ho 0.5647 0.2286 0.9007
Ho 0.7714 0.0993 0.4353
Ho 0.9007 0.5647 0.2286
Er 0.0348 0.7002 0.3680
Er 0.2998 0.6320 0.9652
Er 0.3680 0.0348 0.7002
Er 0.6320 0.9652 0.2998
Er 0.7002 0.3680 0.0348
Er 0.9652 0.2998 0.6320
Mg 0.1667 0.1667 0.1667
Mg 0.8333 0.8333 0.8333

Properties
ρ, g/cm3: 7.7
ΔE to the lowest computed polymorph, eV/atom: 0.085
E_form, eV/atom: 0.102


A relaxed Ho7Er4Mg crystal. Source: Alexandria, functional PBE-GGA.

Cell: 6.5882 6.5882 12.4408 Å, 113.18 113.18 51.72°
Fractional positions:
Ho 0.0000 0.0000 0.0000
Ho 0.1330 0.1330 0.4785
Ho 0.2981 0.2981 0.0784
Ho 0.4052 0.4052 0.7209
Ho 0.5948 0.5948 0.2791
Ho 0.7019 0.7019 0.9216
Ho 0.8670 0.8670 0.5215
Er 0.1293 0.1293 0.7724
Er 0.3464 0.3464 0.3703
Er 0.6536 0.6536 0.6297
Er 0.8707 0.8707 0.2276
Mg 0.5000 0.5000 0.0000

Properties
ρ, g/cm3: 8.0
E_form, eV/atom: 0.278


A relaxed Ho2ErMg9 crystal. Source: Alexandria, functional PBE-GGA.

Cell: 4.6506 4.6506 13.9398 Å, 90.00 90.00 90.00°
Fractional positions:
Ho 0.0000 0.0000 0.1670
Ho 0.0000 0.0000 0.8330
Er 0.0000 0.0000 0.5000
Mg 0.0000 0.5000 0.0000
Mg 0.0000 0.5000 0.3339
Mg 0.0000 0.5000 0.6661
Mg 0.5000 0.0000 0.0000
Mg 0.5000 0.0000 0.3339
Mg 0.5000 0.0000 0.6661
Mg 0.5000 0.5000 0.1666
Mg 0.5000 0.5000 0.5000
Mg 0.5000 0.5000 0.8334

Properties
ρ, g/cm3: 3.9
ΔE to the lowest computed polymorph, eV/atom: 0.000
E_form, eV/atom: -0.053


A relaxed Ho4Er5Mg2 crystal. Source: Alexandria, functional PBE-GGA.

Cell: 8.8533 8.8533 11.2822 Å, 92.72 92.72 22.33°
Fractional positions:
Ho 0.0232 0.0232 0.2756
Ho 0.3588 0.3588 0.1883
Ho 0.6412 0.6412 0.8117
Ho 0.9768 0.9768 0.7244
Er 0.1743 0.1743 0.0745
Er 0.2134 0.2134 0.3797
Er 0.5000 0.5000 0.0000
Er 0.7866 0.7866 0.6203
Er 0.8257 0.8257 0.9255
Mg 0.4102 0.4102 0.4680
Mg 0.5898 0.5898 0.5320

Properties
ρ, g/cm3: 7.6
ΔE to the lowest computed polymorph, eV/atom: 0.000
E_form, eV/atom: 0.134


A relaxed HoEr4Mg3 crystal. Source: Alexandria, functional PBE-GGA.

Cell: 3.7939 5.3839 10.8982 Å, 90.00 90.00 90.00°
Fractional positions:
Ho 0.0000 0.0000 0.0000
Er 0.5000 0.0000 0.2610
Er 0.5000 0.0000 0.7390
Er 0.5000 0.5000 0.0000
Er 0.5000 0.5000 0.5000
Mg 0.0000 0.0000 0.5000
Mg 0.0000 0.5000 0.2511
Mg 0.0000 0.5000 0.7489

Properties
ρ, g/cm3: 6.8
E_form, eV/atom: 0.002